Compound: CaVO3
Source: Alexandria via LeMat-Bulk
Functional: GGA+U
Structure: optimized geometry

Lattice parameters (Å, degrees): 4.2460 4.2460 4.2460 90.00 90.00 90.00
Last column: nearest neighbours and their distance in Å.
Sites, in units of the cell vectors:
1 Ca 0.0000 0.0000 0.0000  6 O 2.12
2 V 0.5000 0.5000 0.5000  12 O 3.00
3 O 0.0000 0.0000 0.5000  2 Ca 2.12
4 O 0.0000 0.5000 0.0000  2 Ca 2.12
5 O 0.5000 0.0000 0.0000  2 Ca 2.12

Symmetry   Pm-3m (221)
Total DFT energy (no corrections)   -0.39283 Ry/atom